Below is a relaxed structure of Al2TcH, with properties calculated at the PBE level.

Lattice parameters (Å, degrees): 6.253 6.253 5.029 51.56 51.56 90.00
Fractional positions:
H1 0.500 0.500 0.000
H2 0.250 0.750 0.500
Tc1 0.000 0.000 0.000
Tc2 0.750 0.250 0.500
Al1 0.541 0.125 0.250
Al2 0.209 0.625 0.250
Al3 0.375 0.459 0.750
Al4 0.875 0.791 0.750

Calculated values
Polymorph energy (0 for the lowest one) (meV per atom): 9
Symmetry: I-42d, No. 122
Crystal system: tetragonal
DOS at the Fermi energy (states/eV/f.u.): 0.16